(1)
# CsHIF | the Alexandria database | PBE | optimized geometry
# Fermi-level density of states ... 0.00 states/eV per atom
# Volume ... 265 Å³/cell
# E_tot ... -3.485 eV per atom
data_CsHIF
_chemical_formula_sum 'Cs2 H2 I2 F2'
_cell_length_a 8.6953
_cell_length_b 5.7764
_cell_length_c 5.2917
_cell_angle_alpha 90.00
_cell_angle_beta 92.89
_cell_angle_gamma 90.00
_space_group_name_H-M_alt 'C 1 m 1'
_space_group_IT_number 8
_space_group_name_Hall 'C -2y'
loop_
_atom_site_label
_atom_site_fract_x
_atom_site_fract_y
_atom_site_fract_z
Cs1 0.0000 0.0000 0.0000
H1 0.4262 0.0000 0.2700
I1 0.1356 0.5000 0.5295
F1 0.3479 0.0000 0.1269



(2)
# CsH2IF8 | the Alexandria database | PBE | optimized geometry
# Fermi-level density of states ... 0.00 states/eV per atom
# Volume ... 208 Å³/cell
# E_tot ... -3.825 eV per atom
data_CsH2IF8
_chemical_formula_sum 'Cs1 H2 I1 F8'
_cell_length_a 5.0594
_cell_length_b 5.1553
_cell_length_c 8.6274
_cell_angle_alpha 79.14
_cell_angle_beta 88.95
_cell_angle_gamma 70.61
_space_group_name_H-M_alt 'P -1'
_space_group_IT_number 2
_space_group_name_Hall '-P 1'
loop_
_atom_site_label
_atom_site_fract_x
_atom_site_fract_y
_atom_site_fract_z
Cs1 0.0000 0.0000 0.0000
H1 0.4679 0.3185 0.2133
I1 0.0000 0.0000 0.5000
F1 0.2293 0.8072 0.3372
F2 0.2342 0.2427 0.4881
F3 0.2525 0.7288 0.6882
F4 0.3466 0.3377 0.1229



(3)
# CsH2IF2 | the Alexandria database | PBE | optimized geometry
# Fermi-level density of states ... 0.00 states/eV per atom
# Volume ... 299 Å³/cell
# E_tot ... -3.613 eV per atom
data_CsH2IF2
_chemical_formula_sum 'Cs2 H4 I2 F4'
_cell_length_a 7.4637
_cell_length_b 4.2389
_cell_length_c 10.1655
_cell_angle_alpha 90.00
_cell_angle_beta 111.47
_cell_angle_gamma 90.00
_space_group_name_H-M_alt 'P 1 21/m 1'
_space_group_IT_number 11
_space_group_name_Hall '-P 2yb'
loop_
_atom_site_label
_atom_site_fract_x
_atom_site_fract_y
_atom_site_fract_z
Cs1 0.1740 0.2500 0.3476
H1 0.2384 0.0000 0.0001
I1 0.3335 0.7500 0.6675
F1 0.2014 0.2500 0.9506
F2 0.2514 0.7500 0.0497



(4)
# CsInH2F | the Alexandria database | PBE | optimized geometry
# Fermi-level density of states ... 0.31 states/eV per atom
# Volume ... 146 Å³/cell
# E_tot ... -3.105 eV per atom
data_CsInH2F
_chemical_formula_sum 'Cs1 In1 H2 F1'
_cell_length_a 4.0077
_cell_length_b 4.0077
_cell_length_c 9.0980
_cell_angle_alpha 90.00
_cell_angle_beta 90.00
_cell_angle_gamma 90.00
_space_group_name_H-M_alt 'P 4/m m m'
_space_group_IT_number 123
_space_group_name_Hall '-P 4 2'
loop_
_atom_site_label
_atom_site_fract_x
_atom_site_fract_y
_atom_site_fract_z
Cs1 0.0000 0.0000 0.0000
In1 0.0000 0.0000 0.5000
H1 0.0000 0.5000 0.5000
F1 0.5000 0.5000 0.0000



(5)
# CsHIrF6 | the Alexandria database | PBE | optimized geometry
# Fermi-level density of states ... 0.78 states/eV per atom
# Volume ... 154 Å³/cell
# E_tot ... -4.541 eV per atom
data_CsHIrF6
_chemical_formula_sum 'Cs1 H1 Ir1 F6'
_cell_length_a 4.9390
_cell_length_b 5.7207
_cell_length_c 6.0591
_cell_angle_alpha 78.65
_cell_angle_beta 80.13
_cell_angle_gamma 66.99
_space_group_name_H-M_alt 'P 1'
_space_group_IT_number 1
_space_group_name_Hall 'P 1'
loop_
_atom_site_label
_atom_site_fract_x
_atom_site_fract_y
_atom_site_fract_z
Cs1 0.0000 0.0000 0.0000
H1 0.8780 0.6423 0.6358
Ir1 0.5032 0.4843 0.4768
F1 0.0692 0.7147 0.5725
F2 0.3717 0.3944 0.2344
F3 0.4471 0.2120 0.7043
F4 0.5537 0.7700 0.2652
F5 0.6745 0.5893 0.7147
F6 0.9041 0.2637 0.3989



(6)
# Cs3KH2F6 | the Alexandria database | PBE | optimized geometry
# Fermi-level density of states ... 0.00 states/eV per atom
# Volume ... 242 Å³/cell
# E_tot ... -4.014 eV per atom
data_Cs3KH2F6
_chemical_formula_sum 'Cs3 K1 H2 F6'
_cell_length_a 6.1118
_cell_length_b 6.1118
_cell_length_c 7.4839
_cell_angle_alpha 90.00
_cell_angle_beta 90.00
_cell_angle_gamma 120.00
_space_group_name_H-M_alt 'P -3 m 1'
_space_group_IT_number 164
_space_group_name_Hall '-P 3 2"'
loop_
_atom_site_label
_atom_site_fract_x
_atom_site_fract_y
_atom_site_fract_z
Cs1 0.0000 0.0000 0.0000
Cs2 0.3333 0.6667 0.6834
K1 0.0000 0.0000 0.5000
H1 0.3333 0.6667 0.2810
F1 0.2016 0.4031 0.2863



(7)
# CsLi2H2F6 | the Alexandria database | PBE | optimized geometry
# Volume ... 156 Å³/cell
# E_tot ... -4.245 eV per atom
data_CsLi2H2F6
_chemical_formula_sum 'Cs1 Li2 H2 F6'
_cell_length_a 5.5261
_cell_length_b 5.6923
_cell_length_c 6.4471
_cell_angle_alpha 92.97
_cell_angle_beta 114.40
_cell_angle_gamma 117.66
_space_group_name_H-M_alt 'P -1'
_space_group_IT_number 2
_space_group_name_Hall '-P 1'
loop_
_atom_site_label
_atom_site_fract_x
_atom_site_fract_y
_atom_site_fract_z
Cs1 0.0000 0.0000 0.0000
Li1 0.3151 0.2907 0.6026
H1 0.2533 0.7515 0.5087
F1 0.1354 0.8726 0.5046
F2 0.3785 0.6363 0.5134
F3 0.4310 0.6131 0.0538



(8)
# Cs2MgHF | the Alexandria database | PBE | optimized geometry
# Fermi-level density of states ... 0.03 states/eV per atom
# Volume ... 158 Å³/cell
# E_tot ... -2.362 eV per atom
data_Cs2MgHF
_chemical_formula_sum 'Cs2 Mg1 H1 F1'
_cell_length_a 5.9245
_cell_length_b 5.9245
_cell_length_c 4.5146
_cell_angle_alpha 90.00
_cell_angle_beta 90.00
_cell_angle_gamma 90.00
_space_group_name_H-M_alt 'P 4/m m m'
_space_group_IT_number 123
_space_group_name_Hall '-P 4 2'
loop_
_atom_site_label
_atom_site_fract_x
_atom_site_fract_y
_atom_site_fract_z
Cs1 0.0000 0.5000 0.0000
Mg1 0.0000 0.0000 0.5000
H1 0.0000 0.0000 0.0000
F1 0.5000 0.5000 0.5000



(9)
# Cs2MgH3F | the Alexandria database | PBE | optimized geometry
# Fermi-level density of states ... 0.00 states/eV per atom
# Volume ... 280 Å³/cell
# E_tot ... -3.111 eV per atom
data_Cs2MgH3F
_chemical_formula_sum 'Cs4 Mg2 H6 F2'
_cell_length_a 4.3063
_cell_length_b 4.3453
_cell_length_c 14.9680
_cell_angle_alpha 90.00
_cell_angle_beta 90.00
_cell_angle_gamma 90.00
_space_group_name_H-M_alt 'I m m m'
_space_group_IT_number 71
_space_group_name_Hall '-I 2 2'
loop_
_atom_site_label
_atom_site_fract_x
_atom_site_fract_y
_atom_site_fract_z
Cs1 0.0000 0.0000 0.1443
Mg1 0.0000 0.0000 0.5000
H1 0.0000 0.0000 0.3697
H2 0.0000 0.5000 0.5000
F1 0.0000 0.5000 0.0000



(10)
# Cs2MgHF3 | the Alexandria database | PBE | optimized geometry
# Fermi-level density of states ... 0.00 states/eV per atom
# Volume ... 273 Å³/cell
# E_tot ... -4.108 eV per atom
data_Cs2MgHF3
_chemical_formula_sum 'Cs4 Mg2 H2 F6'
_cell_length_a 4.2459
_cell_length_b 4.2989
_cell_length_c 14.9341
_cell_angle_alpha 90.00
_cell_angle_beta 90.00
_cell_angle_gamma 90.00
_space_group_name_H-M_alt 'I m m m'
_space_group_IT_number 71
_space_group_name_Hall '-I 2 2'
loop_
_atom_site_label
_atom_site_fract_x
_atom_site_fract_y
_atom_site_fract_z
Cs1 0.0000 0.0000 0.1482
Mg1 0.0000 0.0000 0.5000
H1 0.0000 0.5000 0.5000
F1 0.0000 0.0000 0.3660
F2 0.0000 0.5000 0.0000